Entry from Alexandria via LeMat-Bulk: BaCrCo2 after structural relaxation (PBE).

a = 6.6324 Å, b = 6.6324 Å, c = 6.6324 Å
α = 90.00°, β = 90.00°, γ = 90.00°
Space group F-43m (No. 216)
Inequivalent atoms, fractional coordinates:
Ba 0.0000 0.0000 0.0000 x4
Cr 0.2500 0.2500 0.7500 x4
Co 0.0000 0.0000 0.5000 x4
Co 0.2500 0.2500 0.2500 x4

Properties
Polymorph energy (0 for the lowest one) (eV per formula unit): 3.10
Calculated volume (Å³ per cell): 292

---

Entry from Alexandria via LeMat-Bulk: Sm12Zn6Rh after structural relaxation (PBE).

a = 11.9066 Å, b = 11.9066 Å, c = 13.2085 Å
α = 90.00°, β = 90.00°, γ = 120.00°
Space group R-3 (No. 148, hexagonal axes)
Inequivalent atoms, fractional coordinates:
Sm 0.0343 0.1957 0.3734 x18
Sm 0.0394 0.8456 0.8911 x18
Zn 0.0040 0.6021 0.7581 x18
Rh 0.0000 0.0000 0.5000 x3

Properties
Calculated volume (Å³ per cell): 1622
Total DFT energy (no corrections) (eV/atom): -3.91

---

Entry from Alexandria via LeMat-Bulk: Nd4TlIn after structural relaxation (PBE).

a = 5.5235 Å, b = 6.9787 Å, c = 9.7154 Å
α = 90.00°, β = 90.06°, γ = 90.00°
Space group P2_1/m (No. 11)
Inequivalent atoms, fractional coordinates:
Nd 0.2501 0.0104 0.2259 x4
Nd 0.2500 0.2500 0.9028 x2
Nd 0.2499 0.7500 0.5772 x2
Tl 0.2502 0.2500 0.5792 x2
In 0.2497 0.7500 0.9133 x2

Properties
Polymorph energy (0 for the lowest one) (eV per formula unit): 0.00
Calculated volume (Å³ per cell): 374

---

Entry from Alexandria via LeMat-Bulk: DyB2Ir2 after structural relaxation (PBE).

a = 6.4767 Å, b = 6.4767 Å, c = 13.7716 Å
α = 90.00°, β = 90.00°, γ = 90.00°
Space group I4_1/amd (No. 141, origin choice 2)
Inequivalent atoms, fractional coordinates:
Dy 0.0000 0.0000 0.0000 x8
B 0.0000 0.1061 0.2646 x16
Ir 0.0000 0.0398 0.5959 x16

Properties
Calculated volume (Å³ per cell): 578
Total DFT energy (no corrections) (eV/atom): -7.54

---

Entry from Alexandria via LeMat-Bulk: Fe2CoP after structural relaxation (PBE).

a = 2.5878 Å, b = 2.5878 Å, c = 22.3786 Å
α = 90.00°, β = 90.00°, γ = 120.00°
Space group R-3m (No. 166, hexagonal axes)
Inequivalent atoms, fractional coordinates:
Fe 0.0000 0.0000 0.2438 x6
Co 0.0000 0.0000 0.0000 x3
P 0.0000 0.0000 0.5000 x3

Properties
Calculated volume (Å³ per cell): 130
Total DFT energy (no corrections) (eV/atom): -7.35

---

Entry from Alexandria via LeMat-Bulk: Tb4Pm2Bi3N2 after structural relaxation (PBE).

a = 4.7190 Å, b = 4.7190 Å, c = 26.1235 Å
α = 90.00°, β = 90.00°, γ = 90.00°
Space group I4/mmm (No. 139)
Inequivalent atoms, fractional coordinates:
Tb 0.0000 0.5000 0.0838 x8
Pm 0.0000 0.0000 0.1914 x4
Bi 0.0000 0.0000 0.3210 x4
Bi 0.0000 0.0000 0.5000 x2
N 0.0000 0.0000 0.1009 x4

Properties
Calculated volume (Å³ per cell): 582
Formation energy without anion corrections (eV/atom): -1.051

---

Entry from Alexandria via LeMat-Bulk: ZnCdSiIr after structural relaxation (PBE).

a = 4.1656 Å, b = 4.1656 Å, c = 5.3821 Å
α = 90.00°, β = 90.00°, γ = 120.00°
Space group P3m1 (No. 156)
Inequivalent atoms, fractional coordinates:
Zn 0.0000 0.0000 0.0000 x1
Cd 0.6667 0.3333 0.3465 x1
Si 0.3333 0.6667 0.7813 x1
Ir 0.6667 0.3333 0.8400 x1

Properties
Polymorph energy (0 for the lowest one) (eV per formula unit): 0.21
Calculated volume (Å³ per cell): 81
Formation energy without anion corrections (eV/atom): -0.167

---

Entry from Alexandria via LeMat-Bulk: Mg2ScTl after structural relaxation (PBE).

a = 6.7611 Å, b = 6.7336 Å, c = 5.2304 Å
α = 90.00°, β = 130.16°, γ = 90.00°
Space group C2 (No. 5)
Inequivalent atoms, fractional coordinates:
Mg 0.0000 0.0000 0.0000 x2
Mg 0.0000 0.2501 0.5000 x2
Sc 0.0000 0.7500 0.5000 x2
Tl 0.0000 0.4999 0.0000 x2

Properties
Polymorph energy (0 for the lowest one) (eV per formula unit): 0.36
Calculated volume (Å³ per cell): 182

---

Question: Which of these has the lowest calculated volume?
Answer: ZnCdSiIr

---

Please write out number 5 again, unchanged.
Entry from Alexandria via LeMat-Bulk: Fe2CoP after structural relaxation (PBE).

a = 2.5878 Å, b = 2.5878 Å, c = 22.3786 Å
α = 90.00°, β = 90.00°, γ = 120.00°
Space group R-3m (No. 166, hexagonal axes)
Inequivalent atoms, fractional coordinates:
Fe 0.0000 0.0000 0.2438 x6
Co 0.0000 0.0000 0.0000 x3
P 0.0000 0.0000 0.5000 x3

Properties
Calculated volume (Å³ per cell): 130
Total DFT energy (no corrections) (eV/atom): -7.35

---

Question: Which of these has the lowest calculated volume?
Answer: ZnCdSiIr

---

Question: Look up the calculated volume of the sixth one.
Answer: 582 Å³ per cell